NdMgCuTeSe2 | PBE | optimized geometry

The space group is Cmcm (No. 63) and the conventional cell measures 3.970, 13.393 and 11.248 Å, with angles of 90.00, 90.00 and 90.00 degrees. Symmetry generates all atoms from Nd at (0.000, 0.000, 0.000), Mg at (0.000, 0.206, 0.250), Cu at (0.000, 0.477, 0.750), Te at (0.000, 0.111, 0.750) and Se at (0.000, 0.355, 0.585).

For the size of the total moment, the calculation gives 0.0 μB/f.u. The total energy is -26.4 eV per formula unit.